DFT (PBE-GGA) results for a relaxed Pm4Sm3Dy5 crystal.

abc: 7.1945 11.3837 12.9792
angles: 151.29 56.34 129.26
Fractional coordinates of all 12 atoms:
Sm1 0.5813 0.1644 0.3322
Sm2 0.0000 0.0000 0.5000
Sm3 0.4187 0.8356 0.6678
Dy1 0.6685 0.3346 0.1659
Dy2 0.7510 0.4999 0.9999
Dy3 0.3315 0.6654 0.8341
Dy4 0.2490 0.5001 0.0001
Dy5 0.5000 0.0000 0.5000
Pm1 0.1685 0.3368 0.1680
Pm2 0.9168 0.8355 0.6677
Pm3 0.0832 0.1645 0.3323
Pm4 0.8315 0.6632 0.8320

Properties
- SG = P-1 (2)
- distance to the lowest polymorph of the same formula (kJ/mol of atoms) = 0.00
- E_tot (eV per atom) = -4.667
- ΔH_f (0 K) (eV per atom) = 0.014
- V (A^3/atom) = 32.94